Pm5Cd2Ir2 | PBE | relaxed

a b c (Å): 9.0384 9.0384 7.9304
angles (deg): 90.00 90.00 50.23
Closest atoms and distances in Å follow each position.
Atoms (fractional coordinates):
Pm 0.0000 0.0000 0.0000  4 Ir 3.03-3.10
Pm 0.0544 0.7094 0.6748  3 Ir 2.91-3.11
Pm 0.2094 0.5544 0.1748  3 Ir 2.91-3.11
Pm 0.2906 0.9456 0.6748  3 Ir 2.91-3.11
Pm 0.4456 0.7906 0.1748  3 Ir 2.91-3.11
Pm 0.5000 0.5000 0.5000  4 Ir 3.03-3.10
Pm 0.5544 0.2094 0.8252  3 Ir 2.91-3.11
Pm 0.7094 0.0544 0.3252  3 Ir 2.91-3.11
Pm 0.7906 0.4456 0.8252  3 Ir 2.91-3.11
Pm 0.9456 0.2906 0.3252  3 Ir 2.91-3.11
Cd 0.2168 0.2168 0.0000  7 Pm 3.29-3.55
Cd 0.2832 0.2832 0.5000  7 Pm 3.29-3.55
Cd 0.7168 0.7168 0.5000  7 Pm 3.29-3.55
Cd 0.7832 0.7832 0.0000  7 Pm 3.29-3.55
Ir 0.1283 0.8717 0.3706  1 Ir 2.84, 8 Pm 2.91-3.11
Ir 0.3717 0.6283 0.8706  1 Ir 2.84, 8 Pm 2.91-3.11
Ir 0.6283 0.3717 0.1294  1 Ir 2.84, 8 Pm 2.91-3.11
Ir 0.8717 0.1283 0.6294  1 Ir 2.84, 8 Pm 2.91-3.11

Values from the calculation:
- Crystal system: orthorhombic
- ΔH_f (0 K): -488 meV per atom

CsPbO2 | PBE | relaxed

a b c (Å): 7.2109 8.8799 6.6068
angles (deg): 90.00 90.00 90.00
Closest atoms and distances in Å follow each position.
Atoms (fractional coordinates):
Cs 0.0881 0.1205 0.0000  4 O 3.02-3.15
Cs 0.4119 0.6205 0.5000  4 O 3.02-3.15
Cs 0.5881 0.3795 0.0000  4 O 3.02-3.15
Cs 0.9119 0.8795 0.5000  4 O 3.02-3.15
Pb 0.0601 0.6297 0.9856  4 O 2.21-2.25
Pb 0.4399 0.1297 0.4856  4 O 2.21-2.25
Pb 0.5601 0.8703 0.9856  4 O 2.21-2.25
Pb 0.9399 0.3703 0.4856  4 O 2.21-2.25
O 0.0254 0.5696 0.6630  2 Pb 2.21
O 0.1371 0.1824 0.5329  2 Pb 2.21-2.25
O 0.3629 0.6824 0.0329  2 Pb 2.21-2.25
O 0.4746 0.0696 0.1630  2 Pb 2.21
O 0.5254 0.9304 0.6630  2 Pb 2.21
O 0.6371 0.3176 0.5329  2 Pb 2.21-2.25
O 0.8629 0.8176 0.0329  2 Pb 2.21-2.25
O 0.9746 0.4304 0.1630  2 Pb 2.21

Values from the calculation:
- Crystal system: orthorhombic
- Energy relative to the elements, uncorrected: -1.1529 eV/atom

KRb2NaF | PBE | relaxed

a b c (Å): 6.2362 6.2362 5.5879
angles (deg): 90.00 90.00 90.00
Closest atoms and distances in Å follow each position.
Atoms (fractional coordinates):
K 0.0000 0.0000 0.0000  2 F 2.79
Rb 0.0000 0.5000 0.5000  2 F 3.12
Rb 0.5000 0.0000 0.5000  2 F 3.12
Na 0.5000 0.5000 0.0000  8 Rb 4.19, 4 K 4.41
F 0.0000 0.0000 0.5000  2 K 2.79, 4 Rb 3.12

Values from the calculation:
- Crystal system: tetragonal
- Energy relative to the elements, uncorrected: -0.9880 eV/atom
- Energy relative to the lowest polymorph listed for this composition: 0 meV per atom

Si3CO | PBE | relaxed

a b c (Å): 4.0663 4.0663 4.0663
angles (deg): 90.00 90.00 90.00
Closest atoms and distances in Å follow each position.
Atoms (fractional coordinates):
Si 0.0000 0.0000 0.5000  2 C 2.03
Si 0.0000 0.5000 0.0000  2 C 2.03
Si 0.5000 0.0000 0.0000  2 C 2.03
C 0.0000 0.0000 0.0000  6 Si 2.03
O 0.5000 0.5000 0.5000  12 Si 2.88

Values from the calculation:
- Crystal system: cubic
- Energy relative to the elements, uncorrected: 1.1791 eV/atom
- Energy relative to the lowest polymorph listed for this composition: 0 meV per atom

Rb3ErU3Te8 | PBE | relaxed

a b c (Å): 10.1643 10.1643 10.1643
angles (deg): 52.10 52.10 52.10
Closest atoms and distances in Å follow each position.
Atoms (fractional coordinates):
Rb 0.0000 0.5000 0.5000  6 Te 3.67-3.69
Rb 0.5000 0.0000 0.5000  6 Te 3.67-3.69
Rb 0.5000 0.5000 0.0000  6 Te 3.67-3.69
Er 0.5000 0.5000 0.5000  6 Te 3.10
U 0.0000 0.0000 0.5000  6 Te 3.11-3.13
U 0.0000 0.5000 0.0000  6 Te 3.11-3.13
U 0.5000 0.0000 0.0000  6 Te 3.11-3.13
Te 0.2340 0.2340 0.2340  3 U 3.13
Te 0.2340 0.7320 0.7320  1 Er 3.10, 2 U 3.11
Te 0.2680 0.2680 0.7660  1 Er 3.10, 2 U 3.11
Te 0.2680 0.7660 0.2680  1 Er 3.10, 2 U 3.11
Te 0.7320 0.2340 0.7320  1 Er 3.10, 2 U 3.11
Te 0.7320 0.7320 0.2340  1 Er 3.10, 2 U 3.11
Te 0.7660 0.2680 0.2680  1 Er 3.10, 2 U 3.11
Te 0.7660 0.7660 0.7660  3 U 3.13

Values from the calculation:
- Crystal system: trigonal
- Energy relative to the elements, uncorrected: -0.9471 eV/atom

NaTm2Te4 | PBE | relaxed

a b c (Å): 7.5128 7.5128 15.1273
angles (deg): 90.00 90.00 147.24
Closest atoms and distances in Å follow each position.
Atoms (fractional coordinates):
Na 0.1132 0.8868 0.7500  6 Te 3.25-3.33
Na 0.8868 0.1132 0.2500  6 Te 3.25-3.33
Tm 0.3624 0.6376 0.5654  6 Te 3.00-3.07
Tm 0.3624 0.6376 0.9346  6 Te 3.00-3.07
Tm 0.6376 0.3624 0.0654  6 Te 3.00-3.07
Tm 0.6376 0.3624 0.4346  6 Te 3.00-3.07
Te 0.0000 0.0000 0.0000  4 Tm 3.07
Te 0.0000 0.0000 0.5000  4 Tm 3.07
Te 0.2738 0.7262 0.1183  3 Tm 3.00-3.06, 2 Na 3.33
Te 0.2738 0.7262 0.3817  3 Tm 3.00-3.06, 2 Na 3.33
Te 0.4426 0.5574 0.7500  2 Tm 3.02, 2 Na 3.25
Te 0.5574 0.4426 0.2500  2 Tm 3.02, 2 Na 3.25
Te 0.7262 0.2738 0.6183  3 Tm 3.00-3.06, 2 Na 3.33
Te 0.7262 0.2738 0.8817  3 Tm 3.00-3.06, 2 Na 3.33

Values from the calculation:
- Crystal system: orthorhombic
- Energy relative to the elements, uncorrected: -1.1104 eV/atom

TbSc5 | PBE | relaxed

a b c (Å): 8.6134 8.6134 3.5681
angles (deg): 90.00 90.00 144.23
Closest atoms and distances in Å follow each position.
Atoms (fractional coordinates):
Tb 0.0000 0.0000 0.0000  8 Sc 3.19-3.49, 2 Tb 3.57
Sc 0.1830 0.8170 0.5000  10 Sc 3.20-3.57, 2 Tb 3.49
Sc 0.3447 0.6553 0.0000  8 Sc 3.11-3.22
Sc 0.5000 0.5000 0.5000  4 Sc 3.11, 4 Tb 3.19
Sc 0.6553 0.3447 0.0000  8 Sc 3.11-3.22
Sc 0.8170 0.1830 0.5000  10 Sc 3.20-3.57, 2 Tb 3.49

Values from the calculation:
- Crystal system: orthorhombic
- ΔH_f (0 K): 93 meV per atom
- Energy relative to the lowest polymorph listed for this composition: 78 meV per atom

Pu2InGe | PBE | relaxed

a b c (Å): 4.5918 4.5918 4.5131
angles (deg): 90.00 90.00 90.00
Closest atoms and distances in Å follow each position.
Atoms (fractional coordinates):
Pu 0.0000 0.5000 0.0000  4 Ge 3.22, 4 In 3.22, 4 Pu 3.25
Pu 0.5000 0.0000 0.0000  4 Ge 3.22, 4 In 3.22, 4 Pu 3.25
In 0.0000 0.0000 0.5000  8 Pu 3.22, 4 Ge 3.25
Ge 0.5000 0.5000 0.5000  8 Pu 3.22, 4 In 3.25

Values from the calculation:
- Crystal system: tetragonal
- ΔH_f (0 K): -268 meV per atom

| no. | final energy (eV for the cell shown) | total moment (μB/f.u.) |
| --- | --- | --- |
| 1 | -95.4 | 0.0 |
| 2 | -76.4 | 0.0 |
| 3 | -11.2 | 0.0 |
| 4 | -24.6 | 0.5 |
| 5 | -80.7 | 8.0 |
| 6 | -61.2 | 0.0 |
| 7 | -35.7 | 0.0 |
| 8 | -37.1 | 11.2 |